# 1
First-principles (PBE) data for an optimized crystal structure of La3DyHo6Th2, as listed in Alexandria.

Output
formation energy = 0.23 eV/f.u.

```
data_La3DyHo6Th2
_cell_length_a 6.224
_cell_length_b 10.777
_cell_length_c 11.815
_cell_angle_alpha 90.00
_cell_angle_beta 100.14
_cell_angle_gamma 90.00
_symmetry_space_group_name_H-M 'C 1 2/m 1'
_symmetry_Int_Tables_number 12
loop_
_symmetry_equiv_pos_as_xyz
'x,y,z'
'-x,-y,-z'
'-x,y,-z'
'x,-y,z'
'x+1/2,y+1/2,z'
'-x+1/2,-y+1/2,-z'
'-x+1/2,y+1/2,-z'
'x+1/2,-y+1/2,z'
loop_
_atom_site_label
_atom_site_type_symbol
_atom_site_fract_x
_atom_site_fract_y
_atom_site_fract_z
La1 La 0.000 0.000 0.000
La2 La 0.000 0.334 0.000
Dy1 Dy 0.000 0.500 0.500
Ho1 Ho 0.244 0.000 0.743
Ho2 Ho 0.249 0.332 0.743
Th1 Th 0.000 0.167 0.500
```


# 2
First-principles (PBE) data for an optimized crystal structure of La2DyHo5Th, as listed in Alexandria.

Output
formation energy = 1.48 eV/f.u.

```
data_La2DyHo5Th
_cell_length_a 5.625
_cell_length_b 19.740
_cell_length_c 10.930
_cell_angle_alpha 90.00
_cell_angle_beta 90.00
_cell_angle_gamma 90.00
_symmetry_space_group_name_H-M 'C m c 21'
_symmetry_Int_Tables_number 36
loop_
_symmetry_equiv_pos_as_xyz
'x,y,z'
'-x,-y,z+1/2'
'-x,y,z'
'x,-y,z+1/2'
'x+1/2,y+1/2,z'
'-x+1/2,-y+1/2,z+1/2'
'-x+1/2,y+1/2,z'
'x+1/2,-y+1/2,z+1/2'
loop_
_atom_site_label
_atom_site_type_symbol
_atom_site_fract_x
_atom_site_fract_y
_atom_site_fract_z
La1 La 0.000 0.115 0.000
La2 La 0.000 0.116 0.582
Dy1 Dy 0.000 0.202 0.274
Ho1 Ho 0.000 0.015 0.293
Ho2 Ho 0.000 0.281 0.576
Ho3 Ho 0.000 0.299 0.975
Ho4 Ho 0.000 0.391 0.286
Ho5 Ho 0.000 0.481 0.003
Th1 Th 0.000 0.418 0.728
```


# 3
First-principles (PBE) data for an optimized crystal structure of La2Dy6Ho3Th, as listed in Alexandria.

Output
formation energy = 0.38 eV/f.u.

```
data_La2Dy6Ho3Th
_cell_length_a 6.208
_cell_length_b 10.744
_cell_length_c 11.796
_cell_angle_alpha 90.00
_cell_angle_beta 100.09
_cell_angle_gamma 90.00
_symmetry_space_group_name_H-M 'C 1 2/m 1'
_symmetry_Int_Tables_number 12
loop_
_symmetry_equiv_pos_as_xyz
'x,y,z'
'-x,-y,-z'
'-x,y,-z'
'x,-y,z'
'x+1/2,y+1/2,z'
'-x+1/2,-y+1/2,-z'
'-x+1/2,y+1/2,-z'
'x+1/2,-y+1/2,z'
loop_
_atom_site_label
_atom_site_type_symbol
_atom_site_fract_x
_atom_site_fract_y
_atom_site_fract_z
La1 La 0.000 0.167 0.000
Dy1 Dy 0.244 0.500 0.748
Dy2 Dy 0.249 0.336 0.253
Ho1 Ho 0.000 0.000 0.500
Ho2 Ho 0.000 0.333 0.500
Th1 Th 0.000 0.500 0.000
```


# 4
First-principles (PBE) data for an optimized crystal structure of LaDy4Ho2Th, as listed in Alexandria.

Output
formation energy = 0.31 eV/f.u.

```
data_LaDy4Ho2Th
_cell_length_a 5.060
_cell_length_b 5.074
_cell_length_c 10.059
_cell_angle_alpha 90.00
_cell_angle_beta 90.00
_cell_angle_gamma 90.00
_symmetry_space_group_name_H-M 'P m m m'
_symmetry_Int_Tables_number 47
loop_
_symmetry_equiv_pos_as_xyz
'x,y,z'
'-x,-y,-z'
'-x,-y,z'
'x,y,-z'
'x,-y,-z'
'-x,y,z'
'-x,y,-z'
'x,-y,z'
loop_
_atom_site_label
_atom_site_type_symbol
_atom_site_fract_x
_atom_site_fract_y
_atom_site_fract_z
La1 La 0.000 0.000 0.000
Dy1 Dy 0.000 0.500 0.256
Dy2 Dy 0.500 0.000 0.257
Ho1 Ho 0.000 0.000 0.500
Ho2 Ho 0.500 0.500 0.000
Th1 Th 0.500 0.500 0.500
```


# 5
First-principles (PBE) data for an optimized crystal structure of LaDy5Ho2Th, as listed in Alexandria.

Output
formation energy = 1.53 eV/f.u.

```
data_LaDy5Ho2Th
_cell_length_a 5.630
_cell_length_b 19.898
_cell_length_c 10.482
_cell_angle_alpha 90.00
_cell_angle_beta 90.00
_cell_angle_gamma 90.00
_symmetry_space_group_name_H-M 'C m c 21'
_symmetry_Int_Tables_number 36
loop_
_symmetry_equiv_pos_as_xyz
'x,y,z'
'-x,-y,z+1/2'
'-x,y,z'
'x,-y,z+1/2'
'x+1/2,y+1/2,z'
'-x+1/2,-y+1/2,z+1/2'
'-x+1/2,y+1/2,z'
'x+1/2,-y+1/2,z+1/2'
loop_
_atom_site_label
_atom_site_type_symbol
_atom_site_fract_x
_atom_site_fract_y
_atom_site_fract_z
La1 La 0.000 0.085 0.000
Dy1 Dy 0.000 0.022 0.291
Dy2 Dy 0.000 0.114 0.580
Dy3 Dy 0.000 0.204 0.264
Dy4 Dy 0.000 0.224 0.873
Dy5 Dy 0.000 0.484 0.580
Ho1 Ho 0.000 0.387 0.288
Ho2 Ho 0.000 0.387 0.873
Th1 Th 0.000 0.299 0.570
```


# 6
First-principles (PBE) data for an optimized crystal structure of LaDyHoTh, as listed in Alexandria.

Output
formation energy = 0.06 eV/f.u.

```
data_LaDyHoTh
_cell_length_a 3.613
_cell_length_b 3.613
_cell_length_c 10.088
_cell_angle_alpha 90.00
_cell_angle_beta 90.00
_cell_angle_gamma 90.00
_symmetry_space_group_name_H-M 'P 4 m m'
_symmetry_Int_Tables_number 99
loop_
_symmetry_equiv_pos_as_xyz
'x,y,z'
'-y,x,z'
'-x,-y,z'
'y,-x,z'
'-x,y,z'
'y,x,z'
'x,-y,z'
'-y,-x,z'
loop_
_atom_site_label
_atom_site_type_symbol
_atom_site_fract_x
_atom_site_fract_y
_atom_site_fract_z
La1 La 0.000 0.000 0.000
Dy1 Dy 0.500 0.500 0.737
Ho1 Ho 0.500 0.500 0.262
Th1 Th 0.000 0.000 0.499
```